[1]
Entry from the Alexandria database: a relaxed LiAcSmHg crystal (GGA-PBE).

CIF file:
```
data_LiAcSmHg
_chemical_formula_sum 'Li4 Ac4 Sm4 Hg4'
_space_group_name_H-M_alt 'F -4 3 m'
_space_group_IT_number 216
_space_group_name_Hall 'F -4 2 3'
_cell_length_a 7.824
_cell_length_b 7.824
_cell_length_c 7.824
_cell_angle_alpha 90.00
_cell_angle_beta 90.00
_cell_angle_gamma 90.00
loop_
_atom_site_label
_atom_site_type_symbol
_atom_site_fract_x
_atom_site_fract_y
_atom_site_fract_z
Li1 Li 0.000 0.000 0.000
Ac1 Ac 0.250 0.250 0.250
Sm1 Sm 0.250 0.250 0.750
Hg1 Hg 0.000 0.000 0.500
```

Values from the calculation:
total energy: -47.02 eV for the cell shown
ΔH_f (0 K): -178.1 meV/atom
mass density: 8.1 Mg/m³


[2]
Entry from the Alexandria database: a relaxed Li2Ac2Sn2Hg5 crystal (GGA-PBE).

CIF file:
```
data_Li2Ac2Sn2Hg5
_chemical_formula_sum 'Li4 Ac4 Sn4 Hg10'
_space_group_name_H-M_alt 'I 4/m m m'
_space_group_IT_number 139
_space_group_name_Hall '-I 4 2'
_cell_length_a 4.762
_cell_length_b 4.762
_cell_length_c 33.931
_cell_angle_alpha 90.00
_cell_angle_beta 90.00
_cell_angle_gamma 90.00
loop_
_atom_site_label
_atom_site_type_symbol
_atom_site_fract_x
_atom_site_fract_y
_atom_site_fract_z
Li1 Li 0.000 0.000 0.082
Ac1 Ac 0.000 0.000 0.204
Sn1 Sn 0.000 0.000 0.305
Hg1 Hg 0.000 0.000 0.000
Hg2 Hg 0.000 0.500 0.125
```

Values from the calculation:
total energy: -48.81 eV for the cell shown
ΔH_f (0 K): -258.9 meV/atom
mass density: 7.4 Mg/m³


[3]
Entry from the Alexandria database: a relaxed LiAcSn2Hg crystal (GGA-PBE).

CIF file:
```
data_LiAcSn2Hg
_chemical_formula_sum 'Li2 Ac2 Sn4 Hg2'
_space_group_name_H-M_alt 'I -4 m 2'
_space_group_IT_number 119
_space_group_name_Hall 'I -4 -2'
_cell_length_a 4.666
_cell_length_b 4.666
_cell_length_c 12.550
_cell_angle_alpha 90.00
_cell_angle_beta 90.00
_cell_angle_gamma 90.00
loop_
_atom_site_label
_atom_site_type_symbol
_atom_site_fract_x
_atom_site_fract_y
_atom_site_fract_z
Li1 Li 0.000 0.000 0.000
Ac1 Ac 0.000 0.500 0.250
Sn1 Sn 0.000 0.500 0.635
Hg1 Hg 0.000 0.000 0.500
```

Values from the calculation:
total energy: -33.36 eV for the cell shown
ΔH_f (0 K): -470.3 meV/atom
mass density: 8.2 Mg/m³


[4]
Entry from the Alexandria database: a relaxed LiAcSnHg crystal (GGA-PBE).

CIF file:
```
data_LiAcSnHg
_chemical_formula_sum 'Li2 Ac2 Sn2 Hg2'
_space_group_name_H-M_alt 'C 1 m 1'
_space_group_IT_number 8
_cell_length_a 8.198
_cell_length_b 4.732
_cell_length_c 6.312
_cell_angle_alpha 90.00
_cell_angle_beta 115.73
_cell_angle_gamma 90.00
loop_
_space_group_symop_operation_xyz
'x,y,z'
'x,-y,z'
'x+1/2,y+1/2,z'
'x+1/2,-y+1/2,z'
loop_
_atom_site_label
_atom_site_type_symbol
_atom_site_fract_x
_atom_site_fract_y
_atom_site_fract_z
Li1 Li 0.000 0.000 0.000
Ac1 Ac 0.198 0.000 0.594
Sn1 Sn 0.165 0.500 0.995
Hg1 Hg 0.419 0.000 0.256
```

Values from the calculation:
total energy: -24.20 eV for the cell shown
ΔH_f (0 K): -443.1 meV/atom
mass density: 8.3 Mg/m³


[5]
Entry from the Alexandria database: a relaxed LiAcSnHg crystal (GGA-PBE).

CIF file:
```
data_LiAcSnHg
_chemical_formula_sum 'Li4 Ac4 Sn4 Hg4'
_space_group_name_H-M_alt 'F -4 3 m'
_space_group_IT_number 216
_space_group_name_Hall 'F -4 2 3'
_cell_length_a 7.722
_cell_length_b 7.722
_cell_length_c 7.722
_cell_angle_alpha 90.00
_cell_angle_beta 90.00
_cell_angle_gamma 90.00
loop_
_atom_site_label
_atom_site_type_symbol
_atom_site_fract_x
_atom_site_fract_y
_atom_site_fract_z
Li1 Li 0.000 0.000 0.000
Ac1 Ac 0.000 0.000 0.500
Sn1 Sn 0.250 0.250 0.250
Hg1 Hg 0.250 0.250 0.750
```

Values from the calculation:
total energy: -49.36 eV for the cell shown
ΔH_f (0 K): -503.3 meV/atom
mass density: 8.0 Mg/m³


[6]
Entry from the Alexandria database: a relaxed Li2AcSn2Hg2 crystal (GGA-PBE).

CIF file:
```
data_Li2AcSn2Hg2
_chemical_formula_sum 'Li6 Ac3 Sn6 Hg6'
_space_group_name_H-M_alt 'R -3 m'
_space_group_IT_number 166
_space_group_name_Hall '-R 3 2"'
_cell_length_a 4.7670
_cell_length_b 4.7670
_cell_length_c 26.4826
_cell_angle_alpha 90.00
_cell_angle_beta 90.00
_cell_angle_gamma 120.00
loop_
_atom_site_label
_atom_site_type_symbol
_atom_site_fract_x
_atom_site_fract_y
_atom_site_fract_z
Li1 Li 0.0000 0.0000 0.1432
Ac1 Ac 0.0000 0.0000 0.0000
Sn1 Sn 0.0000 0.0000 0.2574
Hg1 Hg 0.0000 0.0000 0.4434
```

Values from the calculation:
total energy: -59.15 eV for the cell shown
ΔH_f (0 K): -453.1 meV/atom
mass density: 8.4 Mg/m³


[7]
Entry from the Alexandria database: a relaxed Li2AcSnHg5 crystal (GGA-PBE).

CIF file:
```
data_Li2AcSnHg5
_chemical_formula_sum 'Li2 Ac1 Sn1 Hg5'
_space_group_name_H-M_alt 'P 4/m m m'
_space_group_IT_number 123
_space_group_name_Hall '-P 4 2'
_cell_length_a 5.256
_cell_length_b 5.256
_cell_length_c 7.979
_cell_angle_alpha 90.00
_cell_angle_beta 90.00
_cell_angle_gamma 90.00
loop_
_atom_site_label
_atom_site_type_symbol
_atom_site_fract_x
_atom_site_fract_y
_atom_site_fract_z
Li1 Li 0.000 0.000 0.166
Ac1 Ac 0.500 0.500 0.500
Sn1 Sn 0.500 0.500 0.000
Hg1 Hg 0.000 0.000 0.500
Hg2 Hg 0.000 0.500 0.230
```

Values from the calculation:
total energy: -15.94 eV for the cell shown
ΔH_f (0 K): -276.8 meV/atom
mass density: 10.3 Mg/m³


[8]
Entry from the Alexandria database: a relaxed Li4Ac2Sn3Hg crystal (GGA-PBE).

CIF file:
```
data_Li4Ac2Sn3Hg
_chemical_formula_sum 'Li4 Ac2 Sn3 Hg1'
_space_group_name_H-M_alt 'P -4 m 2'
_space_group_IT_number 115
_cell_length_a 4.763
_cell_length_b 4.763
_cell_length_c 10.849
_cell_angle_alpha 90.00
_cell_angle_beta 90.00
_cell_angle_gamma 90.00
loop_
_space_group_symop_operation_xyz
'x,y,z'
'y,-x,-z'
'-x,-y,z'
'-y,x,-z'
'-x,y,z'
'-y,-x,-z'
'x,-y,z'
'y,x,-z'
loop_
_atom_site_label
_atom_site_type_symbol
_atom_site_fract_x
_atom_site_fract_y
_atom_site_fract_z
Li1 Li 0.000 0.000 0.000
Li2 Li 0.000 0.500 0.378
Li3 Li 0.500 0.500 0.000
Ac1 Ac 0.000 0.500 0.760
Sn1 Sn 0.000 0.000 0.500
Sn2 Sn 0.000 0.500 0.132
Hg1 Hg 0.500 0.500 0.500
```

Values from the calculation:
total energy: -33.34 eV for the cell shown
ΔH_f (0 K): -515.6 meV/atom
mass density: 7.0 Mg/m³


[9]
Entry from the Alexandria database: a relaxed Sr3Li2Ac2Hg4 crystal (GGA-PBE).

CIF file:
```
data_Sr3Li2Ac2Hg4
_chemical_formula_sum 'Sr3 Li2 Ac2 Hg4'
_space_group_name_H-M_alt 'P -3 m 1'
_space_group_IT_number 164
_space_group_name_Hall '-P 3 2"'
_cell_length_a 5.3326
_cell_length_b 5.3326
_cell_length_c 15.1376
_cell_angle_alpha 90.00
_cell_angle_beta 90.00
_cell_angle_gamma 120.00
loop_
_atom_site_label
_atom_site_type_symbol
_atom_site_fract_x
_atom_site_fract_y
_atom_site_fract_z
Sr1 Sr 0.0000 0.0000 0.0000
Sr2 Sr 0.0000 0.0000 0.2540
Li1 Li 0.3333 0.6667 0.1479
Ac1 Ac 0.3333 0.6667 0.5767
Hg1 Hg 0.3333 0.6667 0.3482
Hg2 Hg 0.3333 0.6667 0.8663
```

Values from the calculation:
total energy: -21.29 eV for the cell shown
ΔH_f (0 K): -272.2 meV/atom
mass density: 6.8 Mg/m³


[10]
Entry from the Alexandria database: a relaxed SrLiAcHg crystal (GGA-PBE).

CIF file:
```
data_SrLiAcHg
_chemical_formula_sum 'Sr1 Li1 Ac1 Hg1'
_space_group_name_H-M_alt 'P 4 m m'
_space_group_IT_number 99
_cell_length_a 4.075
_cell_length_b 4.075
_cell_length_c 8.102
_cell_angle_alpha 90.00
_cell_angle_beta 90.00
_cell_angle_gamma 90.00
loop_
_space_group_symop_operation_xyz
'x,y,z'
'-y,x,z'
'-x,-y,z'
'y,-x,z'
'-x,y,z'
'y,x,z'
'x,-y,z'
'-y,-x,z'
loop_
_atom_site_label
_atom_site_type_symbol
_atom_site_fract_x
_atom_site_fract_y
_atom_site_fract_z
Sr1 Sr 0.000 0.000 0.000
Li1 Li 0.500 0.500 0.738
Ac1 Ac 0.000 0.000 0.479
Hg1 Hg 0.500 0.500 0.242
```

Values from the calculation:
total energy: -8.98 eV for the cell shown
ΔH_f (0 K): -243.7 meV/atom
mass density: 6.4 Mg/m³


[11]
Entry from the Alexandria database: a relaxed SrLiAcHg crystal (GGA-PBE).

CIF file:
```
data_SrLiAcHg
_chemical_formula_sum 'Sr4 Li4 Ac4 Hg4'
_space_group_name_H-M_alt 'F -4 3 m'
_space_group_IT_number 216
_space_group_name_Hall 'F -4 2 3'
_cell_length_a 8.075
_cell_length_b 8.075
_cell_length_c 8.075
_cell_angle_alpha 90.00
_cell_angle_beta 90.00
_cell_angle_gamma 90.00
loop_
_atom_site_label
_atom_site_type_symbol
_atom_site_fract_x
_atom_site_fract_y
_atom_site_fract_z
Sr1 Sr 0.000 0.000 0.000
Li1 Li 0.250 0.250 0.250
Ac1 Ac 0.000 0.000 0.500
Hg1 Hg 0.250 0.250 0.750
```

Values from the calculation:
total energy: -35.64 eV for the cell shown
ΔH_f (0 K): -226.1 meV/atom
mass density: 6.6 Mg/m³


[12]
Entry from the Alexandria database: a relaxed LiAcTbHg crystal (GGA-PBE).

CIF file:
```
data_LiAcTbHg
_chemical_formula_sum 'Li4 Ac4 Tb4 Hg4'
_space_group_name_H-M_alt 'F -4 3 m'
_space_group_IT_number 216
_space_group_name_Hall 'F -4 2 3'
_cell_length_a 7.775
_cell_length_b 7.775
_cell_length_c 7.775
_cell_angle_alpha 90.00
_cell_angle_beta 90.00
_cell_angle_gamma 90.00
loop_
_atom_site_label
_atom_site_type_symbol
_atom_site_fract_x
_atom_site_fract_y
_atom_site_fract_z
Li1 Li 0.000 0.000 0.000
Ac1 Ac 0.250 0.250 0.250
Tb1 Tb 0.250 0.250 0.750
Hg1 Hg 0.000 0.000 0.500
```

Values from the calculation:
total energy: -46.49 eV for the cell shown
ΔH_f (0 K): -167.0 meV/atom
mass density: 8.4 Mg/m³


[13]
Entry from the Alexandria database: a relaxed Li2AcTbHg4 crystal (GGA-PBE).

CIF file:
```
data_Li2AcTbHg4
_chemical_formula_sum 'Li6 Ac3 Tb3 Hg12'
_space_group_name_H-M_alt 'R -3 m'
_space_group_IT_number 166
_space_group_name_Hall '-R 3 2"'
_cell_length_a 5.0075
_cell_length_b 5.0075
_cell_length_c 27.6942
_cell_angle_alpha 90.00
_cell_angle_beta 90.00
_cell_angle_gamma 120.00
loop_
_atom_site_label
_atom_site_type_symbol
_atom_site_fract_x
_atom_site_fract_y
_atom_site_fract_z
Li1 Li 0.0000 0.0000 0.2386
Ac1 Ac 0.0000 0.0000 0.0000
Tb1 Tb 0.0000 0.0000 0.5000
Hg1 Hg 0.0000 0.0000 0.1244
Hg2 Hg 0.0000 0.0000 0.3908
```

Values from the calculation:
total energy: -51.58 eV for the cell shown
ΔH_f (0 K): -427.6 meV/atom
mass density: 10.0 Mg/m³


[14]
Entry from the Alexandria database: a relaxed LiAc2ThHg6 crystal (GGA-PBE).

CIF file:
```
data_LiAc2ThHg6
_chemical_formula_sum 'Li2 Ac4 Th2 Hg12'
_space_group_name_H-M_alt 'C 1 2/m 1'
_space_group_IT_number 12
_cell_length_a 11.379
_cell_length_b 4.978
_cell_length_c 9.789
_cell_angle_alpha 90.00
_cell_angle_beta 90.66
_cell_angle_gamma 90.00
loop_
_space_group_symop_operation_xyz
'x,y,z'
'-x,-y,-z'
'-x,y,-z'
'x,-y,z'
'x+1/2,y+1/2,z'
'-x+1/2,-y+1/2,-z'
'-x+1/2,y+1/2,-z'
'x+1/2,-y+1/2,z'
loop_
_atom_site_label
_atom_site_type_symbol
_atom_site_fract_x
_atom_site_fract_y
_atom_site_fract_z
Li1 Li 0.000 0.000 0.000
Ac1 Ac 0.208 0.500 0.810
Th1 Th 0.000 0.500 0.500
Hg1 Hg 0.007 0.000 0.282
Hg2 Hg 0.096 0.500 0.133
Hg3 Hg 0.193 0.000 0.530
```

Values from the calculation:
total energy: -46.08 eV for the cell shown
ΔH_f (0 K): -367.9 meV/atom
mass density: 11.4 Mg/m³


[15]
Entry from the Alexandria database: a relaxed LiAcThHg crystal (GGA-PBE).

CIF file:
```
data_LiAcThHg
_chemical_formula_sum 'Li4 Ac4 Th4 Hg4'
_space_group_name_H-M_alt 'F -4 3 m'
_space_group_IT_number 216
_space_group_name_Hall 'F -4 2 3'
_cell_length_a 7.795
_cell_length_b 7.795
_cell_length_c 7.795
_cell_angle_alpha 90.00
_cell_angle_beta 90.00
_cell_angle_gamma 90.00
loop_
_atom_site_label
_atom_site_type_symbol
_atom_site_fract_x
_atom_site_fract_y
_atom_site_fract_z
Li1 Li 0.000 0.000 0.000
Ac1 Ac 0.250 0.250 0.250
Th1 Th 0.250 0.250 0.750
Hg1 Hg 0.000 0.000 0.500
```

Values from the calculation:
total energy: -55.32 eV for the cell shown
ΔH_f (0 K): -21.5 meV/atom
mass density: 9.3 Mg/m³


[16]
Entry from the Alexandria database: a relaxed LiAc2Tl6Hg crystal (GGA-PBE).

CIF file:
```
data_LiAc2Tl6Hg
_chemical_formula_sum 'Li6 Ac12 Tl36 Hg6'
_space_group_name_H-M_alt 'R -3 m'
_space_group_IT_number 166
_space_group_name_Hall '-R 3 2"'
_cell_length_a 7.4709
_cell_length_b 7.4709
_cell_length_c 37.4579
_cell_angle_alpha 90.00
_cell_angle_beta 90.00
_cell_angle_gamma 120.00
loop_
_atom_site_label
_atom_site_type_symbol
_atom_site_fract_x
_atom_site_fract_y
_atom_site_fract_z
Li1 Li 0.0000 0.0000 0.0000
Li2 Li 0.0000 0.0000 0.5000
Ac1 Ac 0.0000 0.0000 0.1091
Ac2 Ac 0.0000 0.0000 0.2850
Tl1 Tl 0.0241 0.5120 0.2988
Tl2 Tl 0.0538 0.5269 0.8652
Hg1 Hg 0.0000 0.0000 0.4267
```

Values from the calculation:
total energy: -156.55 eV for the cell shown
ΔH_f (0 K): -146.2 meV/atom
mass density: 10.4 Mg/m³


[17]
Entry from the Alexandria database: a relaxed LiAcTlHg crystal (GGA-PBE).

CIF file:
```
data_LiAcTlHg
_chemical_formula_sum 'Li4 Ac4 Tl4 Hg4'
_space_group_name_H-M_alt 'F -4 3 m'
_space_group_IT_number 216
_space_group_name_Hall 'F -4 2 3'
_cell_length_a 7.698
_cell_length_b 7.698
_cell_length_c 7.698
_cell_angle_alpha 90.00
_cell_angle_beta 90.00
_cell_angle_gamma 90.00
loop_
_atom_site_label
_atom_site_type_symbol
_atom_site_fract_x
_atom_site_fract_y
_atom_site_fract_z
Li1 Li 0.000 0.000 0.000
Ac1 Ac 0.000 0.000 0.500
Tl1 Tl 0.250 0.250 0.250
Hg1 Hg 0.250 0.250 0.750
```

Values from the calculation:
total energy: -40.58 eV for the cell shown
ΔH_f (0 K): -363.4 meV/atom
mass density: 9.3 Mg/m³


[18]
Entry from the Alexandria database: a relaxed Li4Ac2TlHg3 crystal (GGA-PBE).

CIF file:
```
data_Li4Ac2TlHg3
_chemical_formula_sum 'Li4 Ac2 Tl1 Hg3'
_space_group_name_H-M_alt 'P -4 m 2'
_space_group_IT_number 115
_cell_length_a 5.007
_cell_length_b 5.007
_cell_length_c 9.844
_cell_angle_alpha 90.00
_cell_angle_beta 90.00
_cell_angle_gamma 90.00
loop_
_space_group_symop_operation_xyz
'x,y,z'
'y,-x,-z'
'-x,-y,z'
'-y,x,-z'
'-x,y,z'
'-y,-x,-z'
'x,-y,z'
'y,x,-z'
loop_
_atom_site_label
_atom_site_type_symbol
_atom_site_fract_x
_atom_site_fract_y
_atom_site_fract_z
Li1 Li 0.000 0.000 0.000
Li2 Li 0.000 0.500 0.374
Li3 Li 0.500 0.500 0.000
Ac1 Ac 0.000 0.500 0.752
Tl1 Tl 0.500 0.500 0.500
Hg1 Hg 0.000 0.000 0.500
Hg2 Hg 0.000 0.500 0.108
```

Values from the calculation:
total energy: -22.43 eV for the cell shown
ΔH_f (0 K): -328.4 meV/atom
mass density: 8.7 Mg/m³


[19]
Entry from the Alexandria database: a relaxed Li2AcTlHg2 crystal (GGA-PBE).

CIF file:
```
data_Li2AcTlHg2
_chemical_formula_sum 'Li2 Ac1 Tl1 Hg2'
_space_group_name_H-M_alt 'P -3 m 1'
_space_group_IT_number 164
_space_group_name_Hall '-P 3 2"'
_cell_length_a 4.8481
_cell_length_b 4.8481
_cell_length_c 7.3779
_cell_angle_alpha 90.00
_cell_angle_beta 90.00
_cell_angle_gamma 120.00
loop_
_atom_site_label
_atom_site_type_symbol
_atom_site_fract_x
_atom_site_fract_y
_atom_site_fract_z
Li1 Li 0.3333 0.6667 0.1396
Ac1 Ac 0.0000 0.0000 0.5000
Tl1 Tl 0.0000 0.0000 0.0000
Hg1 Hg 0.3333 0.6667 0.7507
```

Values from the calculation:
total energy: -13.20 eV for the cell shown
ΔH_f (0 K): -382.4 meV/atom
mass density: 9.4 Mg/m³


[20]
Entry from the Alexandria database: a relaxed Li4AcTl2Hg crystal (GGA-PBE).

CIF file:
```
data_Li4AcTl2Hg
_chemical_formula_sum 'Li12 Ac3 Tl6 Hg3'
_space_group_name_H-M_alt 'R -3 m'
_space_group_IT_number 166
_space_group_name_Hall '-R 3 2"'
_cell_length_a 4.7863
_cell_length_b 4.7863
_cell_length_c 28.6117
_cell_angle_alpha 90.00
_cell_angle_beta 90.00
_cell_angle_gamma 120.00
loop_
_atom_site_label
_atom_site_type_symbol
_atom_site_fract_x
_atom_site_fract_y
_atom_site_fract_z
Li1 Li 0.0000 0.0000 0.0899
Li2 Li 0.0000 0.0000 0.3638
Ac1 Ac 0.0000 0.0000 0.5000
Tl1 Tl 0.0000 0.0000 0.2473
Hg1 Hg 0.0000 0.0000 0.0000
```

Values from the calculation:
total energy: -56.43 eV for the cell shown
ΔH_f (0 K): -251.4 meV/atom
mass density: 7.6 Mg/m³